A geometry-optimized Li4Mg5Tl2 structure, computed with PBE.

```
11
Lattice="4.727 0.000 0.787 2.298 4.131 0.787 0.237 0.140 13.170" Properties=species:S:1:pos:R:3 pbc="T T T"
Li 1.957 1.150 2.839
Li 3.175 1.867 10.112
Li 4.087 2.403 4.632
Li 5.306 3.120 11.904
Mg 1.475 0.868 5.730
Mg 2.704 1.590 12.941
Mg 3.631 2.135 7.372
Mg 4.558 2.680 1.802
Mg 5.787 3.403 9.013
Tl 6.405 3.766 5.300
Tl 0.858 0.504 9.443
```

Calculated values
- Magnetization: 0.000 μB per cell
- Energy of formation: 16.7 kJ/mol of formula units

---

A geometry-optimized Y2BiF2 structure, computed with PBE.

```
5
Lattice="-1.128 2.638 2.789 -2.342 -2.776 1.678 3.012 -1.878 5.865" Properties=species:S:1:pos:R:3 pbc="T T T"
Y -0.458 -0.556 3.211
Y -0.001 -1.461 7.122
Bi 0.000 0.000 0.000
F 0.074 0.345 5.444
F -0.533 -2.362 4.889
```

Calculated values
- Energy: -32.7 eV for the cell shown
- Magnetization: 1.000 μB per cell

---

A geometry-optimized PuCd5In2 structure, computed with PBE.

```
16
Lattice="7.311 -0.003 -3.377 -1.557 7.144 -3.377 -0.483 -0.599 8.583" Properties=species:S:1:pos:R:3 pbc="T T T"
Pu 4.075 5.056 -0.773
Pu 1.197 1.486 2.603
Cd 6.073 2.998 0.823
Cd 0.838 5.578 -0.919
Cd 5.755 7.141 -6.754
Cd 2.877 3.570 -3.377
Cd 4.434 0.964 2.749
Cd 2.084 4.538 1.785
Cd -0.443 6.574 1.785
Cd 3.188 2.005 0.045
Cd 5.715 -0.032 0.045
Cd -0.801 3.544 1.006
In 4.540 1.096 -2.724
In 5.171 4.667 -5.065
In 0.101 1.876 6.895
In 0.732 5.446 4.554
```

Calculated values
- Magnetization: 0.000 μB per cell
- Energy of formation: 85.5 kJ/mol of formula units

---

A geometry-optimized TiCuAgPt2 structure, computed with PBE.

```
5
Lattice="4.652 0.000 0.000 0.000 4.965 0.000 0.000 0.000 4.652" Properties=species:S:1:pos:R:3 pbc="T T T"
Cu 2.326 2.483 2.326
Ag 0.000 2.483 0.000
Pt 0.000 0.000 2.326
Pt 2.326 0.000 0.000
Ti 0.000 0.000 0.000
```

Calculated values
- Magnetization: 0.000 μB per cell
- Energy of formation: 421.5 kJ/mol of formula units

---

A geometry-optimized Pu2ScCuSe5 structure, computed with PBE.

```
18
Lattice="-1.861 0.703 -3.423 4.601 -7.357 -1.722 -9.223 -6.624 3.654" Properties=species:S:1:pos:R:3 pbc="T T T"
Pu -5.650 -10.260 -1.324
Pu -5.516 -6.101 1.746
Pu -1.936 -3.811 0.270
Pu 0.207 -6.335 -3.702
Sc -3.410 -7.322 -1.938
Sc 1.316 -2.805 -1.291
Cu -9.227 -6.883 1.314
Cu -0.986 -9.074 -1.327
Se 2.573 -4.980 -2.421
Se -7.373 -7.977 0.082
Se -3.516 -12.132 -0.579
Se -4.046 -8.467 0.462
Se -2.785 -9.746 -2.776
Se -4.497 -5.025 -0.876
Se -0.979 -6.643 -0.832
Se -3.479 -1.514 -0.708
Se -0.929 -3.728 -2.550
Se -0.247 -1.054 -0.082
```

Calculated values
- Energy: -136.1 eV for the cell shown
- Magnetization: 0.002 μB per cell

---

A geometry-optimized PmZrNiAg structure, computed with PBE.

```
4
Lattice="4.913 0.000 0.000 2.457 4.255 0.000 2.457 1.418 4.012" Properties=species:S:1:pos:R:3 pbc="T T T"
Ni 2.457 1.418 1.003
Zr 4.913 2.837 2.006
Ag 7.370 4.255 3.009
Pm 0.000 0.000 0.000
```

Calculated values
- Magnetization: 0.000 μB per cell
- Energy of formation: -22.9 kJ/mol of formula units

---

A geometry-optimized CuHS4 structure, computed with PBE.

```
12
Lattice="-2.040 5.643 -2.839 -3.768 -0.962 0.786 3.966 4.876 8.647" Properties=species:S:1:pos:R:3 pbc="T T T"
Cu 0.099 1.957 4.717
Cu 0.963 5.260 2.904
H -0.848 1.547 -0.601
H -0.994 8.011 7.196
S 0.832 5.553 7.319
S -2.056 1.470 0.113
S -2.674 4.004 -0.725
S 0.214 8.088 6.481
S -1.009 5.644 3.939
S -3.745 6.267 1.600
S -0.833 3.913 2.655
S 1.903 3.291 4.994
```

Calculated values
- Energy: -46.5 eV for the cell shown
- Magnetization: 0.000 μB per cell

---

A geometry-optimized Dy2TmGa2Rh5 structure, computed with PBE.

```
20
Lattice="3.581 0.000 0.000 0.000 10.007 0.000 0.000 0.000 10.007" Properties=species:S:1:pos:R:3 pbc="T T T"
Dy 0.000 6.734 1.731
Dy 0.000 3.272 8.276
Dy 0.000 1.731 3.272
Dy 0.000 8.276 6.734
Tm 0.000 0.000 0.000
Tm 0.000 5.003 5.003
Ga 0.000 1.235 6.239
Ga 0.000 8.771 3.768
Ga 0.000 6.239 8.771
Ga 0.000 3.768 1.235
Rh 1.790 2.111 0.710
Rh 1.790 7.896 9.297
Rh 1.790 0.710 7.896
Rh 1.790 7.114 4.294
Rh 1.790 9.297 2.111
Rh 1.790 2.893 5.713
Rh 1.790 5.713 7.114
Rh 1.790 4.294 2.893
Rh 1.790 5.003 0.000
Rh 1.790 0.000 5.003
```

Calculated values
- Magnetization: 0.000 μB per cell
- Energy of formation: -826.1 kJ/mol of formula units

---

A geometry-optimized Pm2Cu3Ge structure, computed with PBE.

```
12
Lattice="-5.462 1.072 1.402 -0.693 -4.392 3.630 5.363 5.950 3.110" Properties=species:S:1:pos:R:3 pbc="T T T"
Pm -1.588 2.681 3.514
Pm -4.325 -0.231 1.933
Pm 0.796 -0.051 4.628
Pm -1.830 -3.089 3.099
Cu -4.225 -1.769 4.704
Cu 0.375 2.750 5.937
Cu 3.433 4.399 3.438
Cu -1.167 -0.120 2.205
Cu 0.766 1.438 1.886
Cu -1.558 1.192 6.256
Ge -2.324 -0.246 4.370
Ge 1.532 2.876 3.772
```

Calculated values
- Magnetization: 0.000 μB per cell
- Energy of formation: -237.7 kJ/mol of formula units

---

A geometry-optimized Na2TmBr5 structure, computed with PBE.

```
16
Lattice="5.604 0.000 0.000 -2.802 7.327 0.000 0.000 0.000 14.227" Properties=species:S:1:pos:R:3 pbc="T T T"
Na 2.802 5.150 6.308
Na 2.802 5.150 0.805
Na 0.000 2.177 7.919
Na 0.000 2.177 13.422
Tm 2.802 4.674 10.670
Tm 0.000 2.653 3.557
Br 2.802 6.650 12.511
Br 2.802 6.650 8.829
Br 0.000 4.474 5.701
Br 0.000 4.474 1.413
Br 2.802 3.096 3.557
Br 0.000 4.231 10.670
Br 2.802 2.852 8.526
Br 2.802 2.852 12.814
Br 0.000 0.677 1.716
Br 0.000 0.677 5.398
```

Calculated values
- Energy: -57.9 eV for the cell shown
- Magnetization: 0.000 μB per cell

---

A geometry-optimized Rb3Ce3ZrS8 structure, computed with PBE.

```
15
Lattice="-6.282 0.823 5.244 1.604 -7.325 -3.380 5.782 2.903 6.465" Properties=species:S:1:pos:R:3 pbc="T T T"
Rb 0.000 0.000 0.000
Rb 0.802 -3.663 -1.690
Rb -2.339 -3.251 0.932
Ce -0.250 1.863 5.855
Ce 0.552 -1.800 4.165
Ce 3.693 -2.211 1.543
Zr 2.891 1.451 3.233
S 0.927 -2.820 1.551
S 0.177 -0.779 6.779
S -2.187 -2.591 4.234
S 3.291 -1.008 4.096
S -3.045 1.326 6.041
S 4.149 -4.925 2.289
S 0.315 0.885 3.239
S 0.789 -4.484 5.091
```

Calculated values
- Energy: -88.2 eV for the cell shown
- Magnetization: 1.136 μB per cell

---

A geometry-optimized Y6PaS12 structure, computed with PBE.

```
19
Lattice="7.896 -0.030 -0.035 -1.226 7.801 -0.035 -1.226 -1.429 7.669" Properties=species:S:1:pos:R:3 pbc="T T T"
Y 3.897 6.158 2.799
Y 4.400 2.240 1.039
Y -0.052 4.444 2.389
Y 1.547 0.184 4.799
Y 1.043 4.102 6.559
Y 5.496 1.899 5.208
Pa 0.000 0.000 0.000
S 5.265 3.844 3.182
S 1.618 5.574 4.351
S 3.002 2.097 6.262
S 0.179 2.498 4.415
S 3.826 0.768 3.247
S 2.442 4.245 1.336
S -0.989 7.025 2.461
S -1.650 3.937 7.072
S 4.141 7.143 0.246
S 6.432 -0.682 5.137
S 7.093 2.405 0.526
S 1.302 -0.801 7.351
```

Calculated values
- Energy: -133.3 eV for the cell shown
- Magnetization: 0.005 μB per cell

---

A geometry-optimized PaAl2Ag structure, computed with PBE.

```
4
Lattice="2.964 0.000 0.000 0.000 2.964 0.000 0.000 0.000 8.568" Properties=species:S:1:pos:R:3 pbc="T T T"
Pa 1.482 1.482 4.284
Al 0.000 0.000 6.634
Al 0.000 0.000 1.934
Ag 1.482 1.482 0.000
```

Calculated values
- Magnetization: 0.000 μB per cell
- Energy of formation: -48.8 kJ/mol of formula units

---

A geometry-optimized Sm4TmAl2 structure, computed with PBE.

```
7
Lattice="5.035 0.000 1.573 2.272 4.494 1.573 0.015 0.009 8.797" Properties=species:S:1:pos:R:3 pbc="T T T"
Tm 0.000 0.000 0.000
Al 5.358 3.295 9.387
Al 1.965 1.208 2.556
Sm 6.291 3.869 6.399
Sm 1.031 0.634 5.544
Sm 4.392 2.701 3.633
Sm 2.931 1.802 8.310
```

Calculated values
- Magnetization: 0.003 μB per cell
- Energy of formation: -111.7 kJ/mol of formula units

---

A geometry-optimized AcTcC2 structure, computed with PBE.

```
16
Lattice="-4.655 -0.444 -3.304 -3.121 -3.494 4.867 -3.696 5.422 1.522" Properties=species:S:1:pos:R:3 pbc="T T T"
Ac -2.784 -0.616 1.609
Ac -7.354 1.210 4.678
Ac -4.118 0.274 -1.592
Ac -8.688 2.100 1.476
Tc -6.705 2.382 -1.059
Tc -4.919 1.998 1.438
Tc -4.767 -0.899 4.144
Tc -6.553 -0.514 1.647
C -5.049 -1.913 2.315
C -7.447 -2.214 0.774
C -6.375 0.786 0.151
C -4.025 3.698 2.312
C -5.097 0.698 2.934
C -8.311 -0.516 2.663
C -6.423 3.397 0.770
C -3.161 2.000 0.422
```

Calculated values
- Magnetization: 0.000 μB per cell
- Energy of formation: 61.7 kJ/mol of formula units

---

A geometry-optimized Sc3AgTe structure, computed with PBE.

```
5
Lattice="-3.647 -2.455 -2.712 -2.257 -1.503 4.396 -2.878 4.289 -0.011" Properties=species:S:1:pos:R:3 pbc="T T T"
Sc -1.129 -0.752 2.198
Sc -1.439 2.145 -0.006
Sc -1.824 -1.227 -1.356
Te -4.391 0.166 0.836
Ag 0.000 0.000 0.000
```

Calculated values
- Energy: -24.9 eV for the cell shown
- Magnetization: 0.000 μB per cell

---

A geometry-optimized EuPuGe2 structure, computed with PBE.

```
4
Lattice="-2.941 2.018 -2.067 1.799 -1.596 -4.117 -2.816 -3.839 0.258" Properties=species:S:1:pos:R:3 pbc="T T T"
Eu -1.978 -1.709 -2.963
Ge -1.408 -1.920 0.129
Ge 0.900 -0.798 -2.058
Pu -1.470 1.009 -1.034
```

Calculated values
- Magnetization: 12.405 μB per cell
- Energy of formation: -165.0 kJ/mol of formula units

---

A geometry-optimized K2FeTe structure, computed with PBE.

```
4
Lattice="-2.068 0.077 -5.976 3.810 -4.859 -1.369 -2.501 -2.198 0.835" Properties=species:S:1:pos:R:3 pbc="T T T"
Fe 0.655 -3.529 -0.267
K 0.000 0.000 0.000
K 0.871 -2.391 -3.673
Te -2.285 -1.061 -2.570
```

Calculated values
- Energy: -12.6 eV for the cell shown
- Magnetization: 3.335 μB per cell

---

A geometry-optimized BaNaBi structure, computed with PBE.

```
9
Lattice="-4.340 -7.508 1.082 5.294 1.035 -6.876 3.950 -1.886 2.758" Properties=species:S:1:pos:R:3 pbc="T T T"
Ba -1.811 -3.133 0.452
Ba 0.556 -3.771 -3.375
Ba 2.210 0.432 -2.870
Na -1.323 -6.648 2.201
Na 5.998 -0.157 -3.845
Na 2.204 -2.498 -0.012
Bi 0.000 0.000 0.000
Bi 4.058 -2.756 -2.844
Bi 0.846 -5.603 -0.192
```

Calculated values
- Magnetization: 0.000 μB per cell
- Energy of formation: -221.9 kJ/mol of formula units

---

A geometry-optimized AgIrPtO6 structure, computed with PBE.

```
18
Lattice="-4.967 -1.789 0.420 3.575 -1.215 3.714 -2.384 7.756 4.832" Properties=species:S:1:pos:R:3 pbc="T T T"
Ag 0.000 0.000 0.000
Ag -1.192 3.878 2.416
Ir -2.716 0.342 2.726
Ir -1.061 4.411 6.240
Pt 0.132 0.533 3.824
Pt -3.908 4.220 5.142
O -1.235 -0.826 3.244
O -3.938 -1.159 2.445
O 0.199 3.077 6.916
O 0.161 5.912 6.521
O -1.419 1.696 3.279
O -3.562 0.284 4.488
O -1.611 4.373 8.117
O -3.976 1.676 2.050
O -0.214 4.469 4.478
O -2.166 0.379 0.850
O -2.358 3.057 5.687
O -2.541 5.579 5.722
```

Calculated values
- Energy: -102.4 eV for the cell shown
- Magnetization: 3.326 μB per cell

---

A geometry-optimized AlPS2I structure, computed with PBE.

```
5
Lattice="4.504 0.000 0.000 0.000 4.504 0.000 0.000 0.000 5.296" Properties=species:S:1:pos:R:3 pbc="T T T"
I 2.252 2.252 2.648
P 0.000 0.000 2.648
S 0.000 2.252 0.000
S 2.252 0.000 0.000
Al 0.000 0.000 0.000
```

Calculated values
- Energy: -17.3 eV for the cell shown
- Magnetization: 0.000 μB per cell

---

A geometry-optimized HoPaZnRu structure, computed with PBE.

```
4
Lattice="-3.920 0.641 2.882 -0.026 -1.835 4.551 0.261 3.015 3.863" Properties=species:S:1:pos:R:3 pbc="T T T"
Ru -0.921 0.455 2.824
Zn -2.764 1.365 8.472
Pa -1.842 0.910 5.648
Ho 0.000 0.000 0.000
```

Calculated values
- Magnetization: 0.002 μB per cell
- Energy of formation: -81.1 kJ/mol of formula units